VASP calculation (PBE-GGA) on a geometry-optimized MgAl4Sb structure.

Output
ΔE_f (raw) in eV/atom: 0.093

a = 5.5057 Å, b = 5.5057 Å, c = 5.5057 Å
α = 60.00°, β = 60.00°, γ = 60.00°
Fractional positions:
Mg: 0.0000 0.0000 0.0000
Al: 0.3747 0.3747 0.3747
Al: 0.3747 0.3747 0.8758
Al: 0.3747 0.8758 0.3747
Al: 0.8758 0.3747 0.3747
Sb: 0.7500 0.7500 0.7500